Compound: LaAlPb
Source: the Alexandria database
Functional: GGA-PBE
Structure: relaxed

Structure (extended XYZ):
```
3
Lattice="-3.0639 -3.0326 2.9630 1.8215 -1.9602 4.4949 -1.8242 1.7906 4.5640" Properties=species:S:1:pos:R:3 pbc="T T T"
Al -1.5333 -1.6011 6.0109
Pb 0.0000 0.0000 0.0000
La -2.3000 -2.4016 9.0164
```

**Symmetry**: F-43m
**Formation energy from the elements**: 61 meV/atom